The following is a DFT calculation (PBE-GGA) of crystalline PrSc2In at its relaxed geometry.

The structure in CIF format:
```
data_PrSc2In
_chemical_formula_sum 'Pr1 Sc2 In1'
_cell_length_a 4.739
_cell_length_b 4.739
_cell_length_c 4.655
_cell_angle_alpha 90.00
_cell_angle_beta 90.00
_cell_angle_gamma 90.00
_symmetry_space_group_name_H-M 'P 1'
_symmetry_Int_Tables_number 1
_symmetry_space_group_name_Hall 'P 1'
loop_
_atom_site_label
_atom_site_type_symbol
_atom_site_fract_x
_atom_site_fract_y
_atom_site_fract_z
Pr1 Pr 0.000 0.000 0.000
Sc1 Sc 0.000 0.500 0.500
Sc2 Sc 0.500 0.000 0.500
In1 In 0.500 0.500 0.000
```

## Properties
The formation energy comes out at -0.23 eV/atom. As for the crystal system: tetragonal. The calculation puts the density of states at the Fermi level at 5.91 states/eV/f.u. The value obtained for the electronic total energy is -5.2800 eV per atom.